Entry 1:
Material: CeY2Mg
Method: DFT, PBE
State: relaxed

For the polymorph energy (0 for the lowest one), the calculation gives 0.000 eV per atom. The total magnetization comes out at 0.4 μB per formula unit. Its energy of formation from the pure elements is 3 meV/atom.

```
data_CeY2Mg
_chemical_formula_sum 'Ce1 Y2 Mg1'
_symmetry_space_group_name_H-M 'P 4/m m m'
_symmetry_Int_Tables_number 123
_symmetry_space_group_name_Hall '-P 4 2'
_cell_length_a 3.541
_cell_length_b 3.541
_cell_length_c 9.284
_cell_angle_alpha 90.00
_cell_angle_beta 90.00
_cell_angle_gamma 90.00
loop_
_atom_site_label
_atom_site_fract_x
_atom_site_fract_y
_atom_site_fract_z
Ce1 0.000 0.000 0.000
Y1 0.500 0.500 0.259
Mg1 0.000 0.000 0.500
```

Entry 2:
Material: CeY2Mg9
Method: DFT, PBE
State: relaxed

The total magnetization comes out at 1.3 μB per formula unit. Its energy of formation from the pure elements is -32 meV/atom.

```
data_CeY2Mg9
_chemical_formula_sum 'Ce3 Y6 Mg27'
_symmetry_space_group_name_H-M 'R -3 m'
_symmetry_Int_Tables_number 166
_symmetry_space_group_name_Hall '-R 3 2"'
_cell_length_a 6.0461
_cell_length_b 6.0461
_cell_length_c 29.3346
_cell_angle_alpha 90.00
_cell_angle_beta 90.00
_cell_angle_gamma 120.00
loop_
_atom_site_label
_atom_site_fract_x
_atom_site_fract_y
_atom_site_fract_z
Ce1 0.0000 0.0000 0.0000
Y1 0.0000 0.0000 0.1437
Mg1 0.0000 0.0000 0.3341
Mg2 0.0000 0.0000 0.5000
Mg3 0.0049 0.5025 0.9154
```

Entry 3:
Material: CeYMg
Method: DFT, PBE
State: relaxed

For the polymorph energy (0 for the lowest one), the calculation gives 0.069 eV per atom. The total magnetization comes out at 1.1 μB per formula unit. Its energy of formation from the pure elements is 106 meV/atom.

```
data_CeYMg
_chemical_formula_sum 'Ce1 Y1 Mg1'
_symmetry_space_group_name_H-M 'P 3 m 1'
_symmetry_Int_Tables_number 156
_cell_length_a 5.4803
_cell_length_b 5.4803
_cell_length_c 3.2997
_cell_angle_alpha 90.00
_cell_angle_beta 90.00
_cell_angle_gamma 120.00
loop_
_symmetry_equiv_pos_as_xyz
'x,y,z'
'-y,x-y,z'
'-x+y,-x,z'
'-y,-x,z'
'-x+y,y,z'
'x,x-y,z'
loop_
_atom_site_label
_atom_site_fract_x
_atom_site_fract_y
_atom_site_fract_z
Ce1 0.0000 0.0000 0.0000
Y1 0.3333 0.6667 0.5810
Mg1 0.6667 0.3333 0.3288
```

Entry 4:
Material: CeY5Mg4
Method: DFT, PBE
State: relaxed

The total magnetization comes out at 0.8 μB per formula unit. Its energy of formation from the pure elements is -56 meV/atom.

```
data_CeY5Mg4
_chemical_formula_sum 'Ce1 Y5 Mg4'
_symmetry_space_group_name_H-M 'P 4/m m m'
_symmetry_Int_Tables_number 123
_symmetry_space_group_name_Hall '-P 4 2'
_cell_length_a 3.748
_cell_length_b 3.748
_cell_length_c 20.132
_cell_angle_alpha 90.00
_cell_angle_beta 90.00
_cell_angle_gamma 90.00
loop_
_atom_site_label
_atom_site_fract_x
_atom_site_fract_y
_atom_site_fract_z
Ce1 0.000 0.000 0.000
Y1 0.500 0.500 0.115
Y2 0.500 0.500 0.310
Y3 0.500 0.500 0.500
Mg1 0.000 0.000 0.213
Mg2 0.000 0.000 0.405
```

Entry 5:
Material: CeY2Mg3
Method: DFT, PBE
State: relaxed

The total magnetization comes out at 0.8 μB per formula unit. Its energy of formation from the pure elements is -41 meV/atom.

```
data_CeY2Mg3
_chemical_formula_sum 'Ce1 Y2 Mg3'
_symmetry_space_group_name_H-M 'P 4/m m m'
_symmetry_Int_Tables_number 123
_symmetry_space_group_name_Hall '-P 4 2'
_cell_length_a 3.788
_cell_length_b 3.788
_cell_length_c 11.554
_cell_angle_alpha 90.00
_cell_angle_beta 90.00
_cell_angle_gamma 90.00
loop_
_atom_site_label
_atom_site_fract_x
_atom_site_fract_y
_atom_site_fract_z
Ce1 0.000 0.000 0.000
Y1 0.000 0.000 0.335
Mg1 0.500 0.500 0.173
Mg2 0.500 0.500 0.500
```

Entry 6:
Material: Ce2YMg
Method: DFT, PBE
State: relaxed

For the polymorph energy (0 for the lowest one), the calculation gives 0.082 eV per atom. The total magnetization comes out at 2.3 μB per formula unit. Its energy of formation from the pure elements is 186 meV/atom.

```
data_Ce2YMg
_chemical_formula_sum 'Ce8 Y4 Mg4'
_symmetry_space_group_name_H-M 'F m -3 m'
_symmetry_Int_Tables_number 225
_symmetry_space_group_name_Hall '-F 4 2 3'
_cell_length_a 7.826
_cell_length_b 7.826
_cell_length_c 7.826
_cell_angle_alpha 90.00
_cell_angle_beta 90.00
_cell_angle_gamma 90.00
loop_
_atom_site_label
_atom_site_fract_x
_atom_site_fract_y
_atom_site_fract_z
Ce1 0.250 0.250 0.250
Y1 0.000 0.000 0.000
Mg1 0.000 0.000 0.500
```

Entry 7:
Material: Ce2YMg
Method: DFT, PBE
State: relaxed

For the polymorph energy (0 for the lowest one), the calculation gives 0.160 eV per atom. The total magnetization comes out at 1.5 μB per formula unit. Its energy of formation from the pure elements is 263 meV/atom.

```
data_Ce2YMg
_chemical_formula_sum 'Ce6 Y3 Mg3'
_symmetry_space_group_name_H-M 'R -3 m'
_symmetry_Int_Tables_number 166
_symmetry_space_group_name_Hall '-R 3 2"'
_cell_length_a 3.2842
_cell_length_b 3.2842
_cell_length_c 37.6894
_cell_angle_alpha 90.00
_cell_angle_beta 90.00
_cell_angle_gamma 120.00
loop_
_atom_site_label
_atom_site_fract_x
_atom_site_fract_y
_atom_site_fract_z
Ce1 0.0000 0.0000 0.0876
Y1 0.0000 0.0000 0.5000
Mg1 0.0000 0.0000 0.0000
```

Entry 8:
Material: CeY2Mg5
Method: DFT, PBE
State: relaxed

The total magnetization comes out at 1.2 μB per formula unit. Its energy of formation from the pure elements is -56 meV/atom.

```
data_CeY2Mg5
_chemical_formula_sum 'Ce2 Y4 Mg10'
_symmetry_space_group_name_H-M 'I 4/m m m'
_symmetry_Int_Tables_number 139
_symmetry_space_group_name_Hall '-I 4 2'
_cell_length_a 5.296
_cell_length_b 5.296
_cell_length_c 15.017
_cell_angle_alpha 90.00
_cell_angle_beta 90.00
_cell_angle_gamma 90.00
loop_
_atom_site_label
_atom_site_fract_x
_atom_site_fract_y
_atom_site_fract_z
Ce1 0.000 0.000 0.000
Y1 0.000 0.000 0.259
Mg1 0.000 0.000 0.500
Mg2 0.000 0.500 0.121
```

Entry 9:
Material: CeYMg
Method: DFT, PBE
State: relaxed

For the polymorph energy (0 for the lowest one), the calculation gives 0.000 eV per atom. The total magnetization comes out at 1.0 μB per formula unit. Its energy of formation from the pure elements is 37 meV/atom.

```
data_CeYMg
_chemical_formula_sum 'Ce2 Y2 Mg2'
_symmetry_space_group_name_H-M 'I 4 m m'
_symmetry_Int_Tables_number 107
_symmetry_space_group_name_Hall 'I 4 -2'
_cell_length_a 3.426
_cell_length_b 3.426
_cell_length_c 14.754
_cell_angle_alpha 90.00
_cell_angle_beta 90.00
_cell_angle_gamma 90.00
loop_
_atom_site_label
_atom_site_fract_x
_atom_site_fract_y
_atom_site_fract_z
Ce1 0.000 0.000 0.000
Y1 0.000 0.000 0.677
Mg1 0.000 0.000 0.336
```

Entry 10:
Material: CeY4Mg5
Method: DFT, PBE
State: relaxed

The total magnetization comes out at 0.8 μB per formula unit. Its energy of formation from the pure elements is -68 meV/atom.

```
data_CeY4Mg5
_chemical_formula_sum 'Ce1 Y4 Mg5'
_symmetry_space_group_name_H-M 'P 4/m m m'
_symmetry_Int_Tables_number 123
_symmetry_space_group_name_Hall '-P 4 2'
_cell_length_a 3.795
_cell_length_b 3.795
_cell_length_c 19.144
_cell_angle_alpha 90.00
_cell_angle_beta 90.00
_cell_angle_gamma 90.00
loop_
_atom_site_label
_atom_site_fract_x
_atom_site_fract_y
_atom_site_fract_z
Ce1 0.000 0.000 0.000
Y1 0.000 0.000 0.202
Y2 0.000 0.000 0.401
Mg1 0.500 0.500 0.104
Mg2 0.500 0.500 0.302
Mg3 0.500 0.500 0.500
```

Entry 11:
Material: CeYMg
Method: DFT, PBE
State: relaxed

For the polymorph energy (0 for the lowest one), the calculation gives 0.046 eV per atom. The total magnetization comes out at 1.0 μB per formula unit. Its energy of formation from the pure elements is 83 meV/atom.

```
data_CeYMg
_chemical_formula_sum 'Ce4 Y4 Mg4'
_symmetry_space_group_name_H-M 'P n m a'
_symmetry_Int_Tables_number 62
_cell_length_a 5.770
_cell_length_b 5.645
_cell_length_c 10.507
_cell_angle_alpha 90.00
_cell_angle_beta 90.00
_cell_angle_gamma 90.00
loop_
_symmetry_equiv_pos_as_xyz
'x,y,z'
'-x,-y,-z'
'-x+1/2,-y,z+1/2'
'x+1/2,y,-z+1/2'
'x+1/2,-y+1/2,-z+1/2'
'-x+1/2,y+1/2,z+1/2'
'-x,y+1/2,-z'
'x,-y+1/2,z'
loop_
_atom_site_label
_atom_site_fract_x
_atom_site_fract_y
_atom_site_fract_z
Ce1 0.148 0.250 0.195
Y1 0.183 0.250 0.514
Mg1 0.189 0.250 0.840
```

Entry 12:
Material: Ce2YMg
Method: DFT, PBE
State: relaxed

For the polymorph energy (0 for the lowest one), the calculation gives 0.000 eV per atom. The total magnetization comes out at 2.2 μB per formula unit. Its energy of formation from the pure elements is 104 meV/atom.

```
data_Ce2YMg
_chemical_formula_sum 'Ce2 Y1 Mg1'
_symmetry_space_group_name_H-M 'P 4/m m m'
_symmetry_Int_Tables_number 123
_symmetry_space_group_name_Hall '-P 4 2'
_cell_length_a 4.696
_cell_length_b 4.696
_cell_length_c 5.192
_cell_angle_alpha 90.00
_cell_angle_beta 90.00
_cell_angle_gamma 90.00
loop_
_atom_site_label
_atom_site_fract_x
_atom_site_fract_y
_atom_site_fract_z
Ce1 0.000 0.500 0.000
Y1 0.000 0.000 0.500
Mg1 0.500 0.500 0.500
```

The lowest energy of formation from the pure elements belongs to which entry? CeY4Mg5